Record 1
Density functional theory data (PBE) for a relaxed structure of Co2OsSe.

Values from the calculation:
Formation energy (no corrections): 0.484 eV/atom
Spin magnetization: 0.8135 μB/atom

a b c (Å): 8.062 8.062 8.062
angles (deg): 20.08 20.08 20.08
Last column: magnetic moment on the atom in μB.
Fractional positions:
Co (0.999, 0.999, 0.999)  1.46
Co (0.253, 0.253, 0.253)  1.71
Os (0.502, 0.502, 0.502)  0.14
Se (0.745, 0.745, 0.745)  -0.01

---

Record 2
Density functional theory data (PBE) for a relaxed structure of Co2OsSe.

Values from the calculation:
Formation energy (no corrections): 0.586 eV/atom
Spin magnetization: 0.7588 μB/atom

a b c (Å): 2.711 2.711 8.413
angles (deg): 90.00 90.00 116.99
Last column: magnetic moment on the atom in μB.
Fractional positions:
Co (0.000, 0.000, 0.004)  1.35
Co (0.000, 0.000, 0.496)  1.35
Os (0.500, 0.500, 0.250)  0.35
Se (0.500, 0.500, 0.750)  0.02

---

Record 3
Density functional theory data (PBE) for a relaxed structure of Co2OsSe.

Values from the calculation:
Formation energy (no corrections): 0.471 eV/atom
Spin magnetization: 0.6900 μB/atom

a b c (Å): 5.086 5.086 5.086
angles (deg): 146.67 132.24 59.49
Last column: magnetic moment on the atom in μB.
Fractional positions:
Co (0.031, 0.031, 0.000)  1.15
Co (0.743, 0.243, 0.500)  1.27
Os (0.477, 0.477, 0.000)  0.39
Se (0.249, 0.749, 0.500)  -0.01

---

Record 4
Density functional theory data (PBE) for a relaxed structure of Co2OsSe.

Values from the calculation:
Formation energy (no corrections): 0.482 eV/atom
Spin magnetization: 0.7112 μB/atom

a b c (Å): 4.930 4.930 4.930
angles (deg): 145.95 128.16 63.49
Last column: magnetic moment on the atom in μB.
Fractional positions:
Co (0.020, 0.020, 0.000)  1.29
Co (0.480, 0.480, 0.000)  1.29
Os (0.750, 0.250, 0.500)  0.33
Se (0.250, 0.750, 0.500)  -0.01

---

Record 5
Density functional theory data (PBE) for a relaxed structure of CoOsSe.

Values from the calculation:
Formation energy (no corrections): 0.488 eV/atom
Relative energy among the computed polymorphs: 1 meV/atom
Spin magnetization: 0.4613 μB/atom

a b c (Å): 2.889 2.889 5.872
angles (deg): 90.00 90.00 120.00
Last column: magnetic moment on the atom in μB.
Fractional positions:
Co (0.000, 0.000, 0.996)  1.30
Os (0.667, 0.333, 0.329)  0.12
Se (0.333, 0.667, 0.675)  -0.01

---

Record 6
Density functional theory data (PBE) for a relaxed structure of Co2OsSe.

Values from the calculation:
Formation energy (no corrections): 0.399 eV/atom
Spin magnetization: 0.1049 μB/atom

a b c (Å): 2.761 3.573 5.300
angles (deg): 90.00 90.00 90.00
Last column: magnetic moment on the atom in μB.
Fractional positions:
Co (0.000, 0.000, 0.019)  0.21
Co (0.000, 0.000, 0.481)  0.21
Os (0.500, 0.500, 0.250)  0.01
Se (0.500, 0.500, 0.750)  0.00

---

Record 7
Density functional theory data (PBE) for a relaxed structure of CoOsSe.

Values from the calculation:
Formation energy (no corrections): 0.487 eV/atom
Relative energy among the computed polymorphs: 0 meV/atom
Spin magnetization: 0.0002 μB/atom

a b c (Å): 4.081 4.081 4.081
angles (deg): 60.00 60.00 60.00
Fractional positions:
Co (0.500, 0.500, 0.500)
Os (0.750, 0.750, 0.750)
Se (0.000, 0.000, 0.000)

---

Record 8
Density functional theory data (PBE) for a relaxed structure of Co2OsSe.

Values from the calculation:
Formation energy (no corrections): 0.432 eV/atom
Spin magnetization: 0.8476 μB/atom

a b c (Å): 3.003 3.003 5.852
angles (deg): 90.00 90.00 90.00
Last column: magnetic moment on the atom in μB.
Fractional positions:
Co (0.000, 0.000, 0.012)  1.46
Co (0.500, 0.500, 0.235)  1.69
Os (0.000, 0.000, 0.491)  0.28
Se (0.500, 0.500, 0.763)  -0.01

---

Record 9
Density functional theory data (PBE) for a relaxed structure of Co2OsSe.

Values from the calculation:
Formation energy (no corrections): 0.331 eV/atom
Spin magnetization: 0.4119 μB/atom

a b c (Å): 8.036 8.036 8.036
angles (deg): 19.84 19.84 19.84
Last column: magnetic moment on the atom in μB.
Fractional positions:
Co (0.003, 0.003, 0.003)  0.88
Co (0.497, 0.497, 0.497)  0.88
Os (0.250, 0.250, 0.250)  -0.04
Se (0.750, 0.750, 0.750)  -0.02

---

Record 10
Density functional theory data (PBE) for a relaxed structure of Th8CoOs3Se4.

Values from the calculation:
Formation energy (no corrections): -0.996 eV/atom
Spin magnetization: 0.0000 μB/atom

a b c (Å): 8.205 8.738 8.205
angles (deg): 118.01 120.00 90.00
Fractional positions:
Th (0.235, 0.711, 0.976)
Th (0.235, 0.711, 0.471)
Th (0.262, 0.285, 0.523)
Th (0.741, 0.711, 0.976)
Th (0.259, 0.289, 0.024)
Th (0.738, 0.715, 0.477)
Th (0.765, 0.289, 0.529)
Th (0.765, 0.289, 0.024)
Co (0.000, 0.500, 0.000)
Os (0.500, 0.500, 0.000)
Os (0.500, 0.500, 0.500)
Os (0.000, 0.500, 0.500)
Se (0.500, 0.000, 0.000)
Se (0.500, 0.000, 0.500)
Se (0.000, 0.000, 0.000)
Se (0.000, 0.000, 0.500)

---

Record 11
Density functional theory data (PBE) for a relaxed structure of Th6CoOs2Se3.

Values from the calculation:
Formation energy (no corrections): -0.992 eV/atom
Spin magnetization: 0.0000 μB/atom

a b c (Å): 7.080 7.080 7.722
angles (deg): 98.81 98.81 119.98
Fractional positions:
Th (0.930, 0.600, 0.788)
Th (0.742, 0.742, 0.212)
Th (0.070, 0.400, 0.212)
Th (0.600, 0.930, 0.788)
Th (0.258, 0.258, 0.788)
Th (0.400, 0.070, 0.212)
Co (0.000, 0.000, 0.000)
Os (0.333, 0.667, 0.000)
Os (0.667, 0.333, 0.000)
Se (0.168, 0.832, 0.500)
Se (0.832, 0.168, 0.500)
Se (0.500, 0.500, 0.500)

---

Record 12
Density functional theory data (PBE) for a relaxed structure of Th4CoOsSe2.

Values from the calculation:
Formation energy (no corrections): -0.977 eV/atom
Spin magnetization: 0.0000 μB/atom

a b c (Å): 4.081 7.042 7.706
angles (deg): 107.79 90.00 90.00
Fractional positions:
Th (0.500, 0.233, 0.209)
Th (0.500, 0.767, 0.791)
Th (0.000, 0.258, 0.787)
Th (0.000, 0.742, 0.213)
Co (0.000, 0.000, 0.000)
Os (0.500, 0.500, 0.000)
Se (0.500, 0.000, 0.500)
Se (0.000, 0.500, 0.500)

---

Record 13
Density functional theory data (PBE) for a relaxed structure of Th6Co2OsSe3.

Values from the calculation:
Formation energy (no corrections): -0.963 eV/atom
Spin magnetization: 0.0000 μB/atom

a b c (Å): 4.087 8.696 9.540
angles (deg): 108.66 102.37 90.00
Fractional positions:
Th (0.341, 0.894, 0.681)
Th (0.678, 0.561, 0.356)
Th (0.659, 0.106, 0.319)
Th (0.011, 0.235, 0.022)
Th (0.989, 0.765, 0.978)
Th (0.322, 0.439, 0.644)
Co (0.831, 0.664, 0.662)
Co (0.169, 0.336, 0.338)
Os (0.500, 0.000, 0.000)
Se (0.500, 0.500, 0.000)
Se (0.834, 0.169, 0.668)
Se (0.166, 0.831, 0.332)

---

Record 14
Density functional theory data (PBE) for a relaxed structure of Zn2CoOsSe.

Values from the calculation:
Formation energy (no corrections): 1.453 eV/atom
Spin magnetization: 0.3805 μB/atom

a b c (Å): 4.732 4.518 4.732
angles (deg): 90.00 90.00 90.00
Last column: magnetic moment on the atom in μB.
Fractional positions:
Co (0.500, 0.500, 0.500)  1.98
Zn (0.000, 0.000, 0.500)  -0.01
Zn (0.500, 0.000, 0.000)  -0.02
Os (0.000, 0.500, 0.000)  0.08
Se (0.000, 0.000, 0.000)  -0.02

---

Record 15
Density functional theory data (PBE) for a relaxed structure of Co2SiOs.

Values from the calculation:
Formation energy (no corrections): -0.095 eV/atom
Spin magnetization: 0.4997 μB/atom

a b c (Å): 3.781 2.670 4.935
angles (deg): 74.34 90.00 90.00
Last column: magnetic moment on the atom in μB.
Fractional positions:
Co (0.000, 0.809, 0.007)  0.58
Co (0.500, 0.200, 0.225)  1.41
Os (0.000, 0.550, 0.525)  0.08
Si (0.500, 0.941, 0.744)  -0.02

---

Record 16
Density functional theory data (PBE) for a relaxed structure of Co2SiOs.

Values from the calculation:
Formation energy (no corrections): 0.386 eV/atom
Spin magnetization: 0.7550 μB/atom

a b c (Å): 3.520 3.520 8.862
angles (deg): 78.55 78.55 90.00
Last column: magnetic moment on the atom in μB.
Fractional positions:
Co (0.598, 0.125, 0.250)  1.22
Co (0.152, 0.625, 0.250)  1.23
Co (0.375, 0.402, 0.750)  1.28
Co (0.875, 0.848, 0.750)  1.29
Si (0.500, 0.500, 0.000)  -0.01
Si (0.250, 0.750, 0.500)  -0.01
Os (0.000, 0.000, 0.000)  0.51
Os (0.750, 0.250, 0.500)  0.51

---

Record 17
Density functional theory data (PBE) for a relaxed structure of Co2SiOs.

Values from the calculation:
Formation energy (no corrections): -0.096 eV/atom
Spin magnetization: 0.0001 μB/atom

a b c (Å): 5.680 4.390 2.600
angles (deg): 90.00 62.76 120.75
Fractional positions:
Co (0.000, 0.000, 0.000)
Co (0.500, 0.000, 0.500)
Os (0.000, 0.500, 0.500)
Si (0.500, 0.500, 0.000)

---

Record 18
Density functional theory data (PBE) for a relaxed structure of Co2SiOs.

Values from the calculation:
Formation energy (no corrections): -0.101 eV/atom
Spin magnetization: 0.7428 μB/atom

a b c (Å): 2.857 2.857 5.824
angles (deg): 90.00 90.00 90.00
Last column: magnetic moment on the atom in μB.
Fractional positions:
Co (0.000, 0.000, 0.984)  1.10
Co (0.500, 0.500, 0.236)  1.60
Os (0.000, 0.000, 0.511)  0.31
Si (0.500, 0.500, 0.770)  -0.01

---

Record 19
Density functional theory data (PBE) for a relaxed structure of Co2SiOs2.

Values from the calculation:
Formation energy (no corrections): 0.685 eV/atom
Relative energy among the computed polymorphs: 562 meV/atom
Spin magnetization: 0.0000 μB/atom

a b c (Å): 3.492 3.492 6.415
angles (deg): 74.20 74.20 90.00
Fractional positions:
Co (0.405, 0.405, 0.190)
Co (0.595, 0.595, 0.810)
Si (0.000, 0.000, 0.000)
Os (0.750, 0.250, 0.500)
Os (0.250, 0.750, 0.500)

---

Record 20
Density functional theory data (PBE) for a relaxed structure of Co4SiOs.

Values from the calculation:
Formation energy (no corrections): 0.232 eV/atom
Spin magnetization: 1.1365 μB/atom

a b c (Å): 4.645 4.645 4.645
angles (deg): 60.00 60.00 60.00
Last column: magnetic moment on the atom in μB.
Fractional positions:
Co (0.877, 0.374, 0.374)  1.52
Co (0.374, 0.374, 0.877)  1.52
Co (0.374, 0.877, 0.374)  1.52
Co (0.374, 0.374, 0.374)  1.52
Si (0.000, 0.000, 0.000)  -0.02
Os (0.750, 0.750, 0.750)  0.77

---

Record 21
Density functional theory data (PBE) for a relaxed structure of CoSiOs.

Values from the calculation:
Formation energy (no corrections): -0.142 eV/atom
Spin magnetization: 0.3538 μB/atom

a b c (Å): 4.922 4.922 4.922
angles (deg): 146.29 146.29 48.41
Last column: magnetic moment on the atom in μB.
Fractional positions:
Co (0.018, 0.018, 0.000)  0.88
Os (0.322, 0.322, 0.000)  0.22
Si (0.660, 0.660, 0.000)  -0.01

---

Record 22
Density functional theory data (PBE) for a relaxed structure of Co2SiOs.

Values from the calculation:
Formation energy (no corrections): -0.071 eV/atom
Spin magnetization: 0.0001 μB/atom

a b c (Å): 3.657 3.582 3.582
angles (deg): 90.00 90.00 90.00
Fractional positions:
Co (0.000, 0.000, 0.000)
Co (0.000, 0.500, 0.500)
Os (0.500, 0.500, 0.000)
Si (0.500, 0.000, 0.500)

---

Record 23
Density functional theory data (PBE) for a relaxed structure of CoSiOs.

Values from the calculation:
Formation energy (no corrections): -0.007 eV/atom
Spin magnetization: 0.4582 μB/atom

a b c (Å): 4.425 4.425 4.425
angles (deg): 144.08 131.80 61.55
Last column: magnetic moment on the atom in μB.
Fractional positions:
Co (0.000, 0.000, 0.000)  1.12
Os (0.333, 0.333, 0.000)  0.27
Si (0.667, 0.667, 0.000)  -0.01

---

Record 24
Density functional theory data (PBE) for a relaxed structure of CoSiOs.

Values from the calculation:
Formation energy (no corrections): 0.170 eV/atom
Spin magnetization: 0.2318 μB/atom

a b c (Å): 6.304 6.043 2.702
angles (deg): 82.83 72.00 25.17
Last column: magnetic moment on the atom in μB.
Fractional positions:
Co (0.014, 0.014, 0.986)  0.65
Os (0.326, 0.326, 0.674)  0.09
Si (0.660, 0.660, 0.340)  -0.02

---

Record 25
Density functional theory data (PBE) for a relaxed structure of Co2SiOs.

Values from the calculation:
Formation energy (no corrections): -0.117 eV/atom
Spin magnetization: 0.7494 μB/atom

a b c (Å): 4.076 4.076 4.076
angles (deg): 60.00 60.00 60.00
Last column: magnetic moment on the atom in μB.
Fractional positions:
Co (0.000, 0.000, 0.000)  1.14
Co (0.250, 0.250, 0.250)  1.54
Os (0.500, 0.500, 0.500)  0.35
Si (0.750, 0.750, 0.750)  0.00

---

Record 26
Density functional theory data (PBE) for a relaxed structure of CoSiOs.

Values from the calculation:
Formation energy (no corrections): -0.118 eV/atom
Spin magnetization: 0.5095 μB/atom

a b c (Å): 3.966 3.966 2.716
angles (deg): 90.00 90.00 120.00
Last column: magnetic moment on the atom in μB.
Fractional positions:
Co (0.000, 0.000, 0.833)  1.12
Os (0.667, 0.333, 0.334)  0.42
Si (0.333, 0.667, 0.833)  -0.03

---

Record 27
Density functional theory data (PBE) for a relaxed structure of Co2Si2Os.

Values from the calculation:
Formation energy (no corrections): -0.324 eV/atom
Spin magnetization: 0.0000 μB/atom

a b c (Å): 6.650 6.650 2.627
angles (deg): 90.00 90.00 90.00
Fractional positions:
Co (0.147, 0.647, 0.500)
Co (0.647, 0.853, 0.500)
Co (0.853, 0.353, 0.500)
Co (0.353, 0.147, 0.500)
Si (0.352, 0.852, 0.000)
Si (0.852, 0.648, 0.000)
Si (0.648, 0.148, 0.000)
Si (0.148, 0.352, 0.000)
Os (0.000, 0.000, 0.000)
Os (0.500, 0.500, 0.000)

---

Record 28
Density functional theory data (PBE) for a relaxed structure of Co2SiOs.

Values from the calculation:
Formation energy (no corrections): -0.084 eV/atom
Spin magnetization: 0.7048 μB/atom

a b c (Å): 2.852 4.052 4.161
angles (deg): 90.00 90.00 90.00
Last column: magnetic moment on the atom in μB.
Fractional positions:
Co (0.000, 0.000, 0.000)  1.46
Co (0.500, 0.500, 0.000)  1.20
Os (0.500, 0.000, 0.500)  0.24
Si (0.000, 0.500, 0.500)  -0.01